Record 1
Entry from Alexandria via LeMat-Bulk: a relaxed structure of SnBiPd4 (PBE).

Properties
- spin magnetization (μB/f.u.) = 0.00
- final energy (eV/atom) = -5.14
- formation enthalpy at 0 K (eV per atom) = -0.37

```
SnBiPd4
1.0
2.1578 -7.0045 0.0000
2.1578 7.0045 0.0000
0.0000 0.0000 7.2899
Sn Bi Pd
2 2 8
direct
0.0232 0.9768 0.7500
0.9768 0.0232 0.2500
0.2954 0.7046 0.7500
0.7046 0.2954 0.2500
0.1442 0.8558 0.0401
0.1442 0.8558 0.4599
0.3396 0.6604 0.2500
0.5000 0.5000 0.0000
0.5000 0.5000 0.5000
0.6604 0.3396 0.7500
0.8558 0.1442 0.5401
0.8558 0.1442 0.9599
```

Record 2
Entry from Alexandria via LeMat-Bulk: a relaxed structure of SnBiPd3 (PBE).

Properties
- spin magnetization (μB/f.u.) = 0.00
- final energy (eV/atom) = -4.48
- formation enthalpy at 0 K (eV per atom) = 0.21

```
SnBiPd3
1.0
4.9453 0.0000 0.0000
0.0000 4.9453 0.0000
0.0000 0.0000 4.9453
Sn Bi Pd
1 1 3
direct
0.0000 0.0000 0.0000
0.5000 0.5000 0.5000
0.0000 0.0000 0.5000
0.0000 0.5000 0.0000
0.5000 0.0000 0.0000
```

Record 3
Entry from Alexandria via LeMat-Bulk: a relaxed structure of SnBiPd3 (PBE).

Properties
- spin magnetization (μB/f.u.) = 0.00
- final energy (eV/atom) = -4.96
- formation enthalpy at 0 K (eV per atom) = -0.27

```
SnBiPd3
1.0
6.2800 -2.2664 0.0000
6.2800 2.2664 0.0000
-0.7555 0.0000 7.5608
Sn Bi Pd
2 2 6
direct
0.1666 0.1666 0.4188
0.8334 0.8334 0.5812
0.3724 0.3724 0.1300
0.6276 0.6276 0.8700
0.0416 0.0416 0.6847
0.1130 0.1130 0.0683
0.2679 0.2679 0.7611
0.7321 0.7321 0.2389
0.8870 0.8870 0.9317
0.9584 0.9584 0.3153
```

Record 4
Entry from Alexandria via LeMat-Bulk: a relaxed structure of SnBi5Pd4 (PBE).

Properties
- spin magnetization (μB/f.u.) = 0.00
- final energy (eV/atom) = -4.60
- formation enthalpy at 0 K (eV per atom) = -0.18

```
SnBi5Pd4
1.0
8.1322 -1.7180 0.0000
8.1322 1.7180 0.0000
-0.4400 0.0000 8.9856
Sn Bi Pd
1 5 4
direct
0.0000 0.0000 0.0000
0.0000 0.0000 0.5000
0.3278 0.3278 0.6129
0.3319 0.3319 0.1241
0.6681 0.6681 0.8759
0.6722 0.6722 0.3871
0.1537 0.1537 0.1318
0.4880 0.4880 0.7651
0.5120 0.5120 0.2349
0.8463 0.8463 0.8682
```

Question: Which of these has the lowest final energy?
Answer: SnBiPd4

Repeat the first record exactly.
Entry from Alexandria via LeMat-Bulk: a relaxed structure of SnBiPd4 (PBE).

Properties
- spin magnetization (μB/f.u.) = 0.00
- final energy (eV/atom) = -5.14
- formation enthalpy at 0 K (eV per atom) = -0.37

```
SnBiPd4
1.0
2.1578 -7.0045 0.0000
2.1578 7.0045 0.0000
0.0000 0.0000 7.2899
Sn Bi Pd
2 2 8
direct
0.0232 0.9768 0.7500
0.9768 0.0232 0.2500
0.2954 0.7046 0.7500
0.7046 0.2954 0.2500
0.1442 0.8558 0.0401
0.1442 0.8558 0.4599
0.3396 0.6604 0.2500
0.5000 0.5000 0.0000
0.5000 0.5000 0.5000
0.6604 0.3396 0.7500
0.8558 0.1442 0.5401
0.8558 0.1442 0.9599
```

Question: Which formula does entry 1 have?
Answer: SnBiPd4

Question: Look up the formation enthalpy at 0 K of the third one.
Answer: -0.27 eV per atom